First-principles (GGA-PBE) data for a relaxed CsRb2As2 crystal, as listed in Alexandria via LeMat-Bulk.

Results
density	3.50	g/cm3
DOS at the Fermi energy	4.41	states/eV/f.u.
E above lowest polymorph	0.0342	eV per atom
M_tot	0.89	μB per formula unit

a = 8.9738 Å, b = 8.9738 Å, c = 5.3500 Å
α = 90.00°, β = 90.00°, γ = 90.00°
With the nearest neighbours (Å) after each atom.
Fractional positions:
1 Cs 0.0000 0.0000 0.0000  4 As 3.72
2 Cs 0.5000 0.5000 0.0000  4 As 3.72
3 Rb 0.1619 0.3381 0.5000  4 As 3.59
4 Rb 0.3381 0.8381 0.5000  4 As 3.59
5 Rb 0.6619 0.1619 0.5000  4 As 3.59
6 Rb 0.8381 0.6619 0.5000  4 As 3.59
7 As 0.0962 0.5962 0.0000  1 As 2.44
8 As 0.4038 0.0962 0.0000  1 As 2.44
9 As 0.5962 0.9038 0.0000  1 As 2.44
10 As 0.9038 0.4038 0.0000  1 As 2.44



First-principles (GGA-PBE) data for a relaxed Th3B2PRh9 crystal, as listed in Alexandria via LeMat-Bulk.

Results
density	11.17	g/cm3
DOS at the Fermi energy	5.80	states/eV/f.u.
VASP energy	-119.9	eV/cell
M_tot	0.00	μB per formula unit

a = 5.9190 Å, b = 5.9190 Å, c = 8.2087 Å
α = 90.00°, β = 90.00°, γ = 120.00°
With the nearest neighbours (Å) after each atom.
Fractional positions:
1 Th 0.0000 0.0000 0.0000  12 Rh 2.96-2.98
2 Th 0.3333 0.6667 0.6605  9 Rh 2.98-3.27
3 Th 0.6667 0.3333 0.3395  9 Rh 2.98-3.27
4 B 0.3333 0.6667 0.1538  6 Rh 2.11-2.12
5 B 0.6667 0.3333 0.8462  6 Rh 2.11-2.12
6 P 0.0000 0.0000 0.5000  6 Rh 2.36
7 Rh 0.0000 0.5000 0.0000  2 B 2.12
8 Rh 0.1641 0.3283 0.2993  1 B 2.11, 1 P 2.36
9 Rh 0.1641 0.8359 0.2993  1 B 2.11, 1 P 2.36
10 Rh 0.3283 0.1641 0.7007  1 B 2.11, 1 P 2.36
11 Rh 0.5000 0.0000 0.0000  2 B 2.12
12 Rh 0.5000 0.5000 0.0000  2 B 2.12
13 Rh 0.6717 0.8359 0.2993  1 B 2.11, 1 P 2.36
14 Rh 0.8359 0.1641 0.7007  1 B 2.11, 1 P 2.36
15 Rh 0.8359 0.6717 0.7007  1 B 2.11, 1 P 2.36



First-principles (GGA-PBE) data for a relaxed Tb3PrGa crystal, as listed in Alexandria via LeMat-Bulk.

Results
density	7.07	g/cm3
DOS at the Fermi energy	6.46	states/eV/f.u.
VASP energy	-44.1	eV/cell
M_tot	0.00	μB per formula unit

a = 7.4593 Å, b = 7.4593 Å, c = 7.7510 Å
α = 119.99°, β = 119.99°, γ = 72.98°
With the nearest neighbours (Å) after each atom.
Fractional positions:
1 Tb 0.0099 0.3976 0.7401  2 Ga 2.89-3.07
2 Tb 0.0698 0.0698 0.2654  2 Ga 2.93-3.00
3 Tb 0.3976 0.0099 0.7401  2 Ga 2.89-3.07
4 Tb 0.6024 0.9901 0.2599  2 Ga 2.89-3.07
5 Tb 0.9302 0.9302 0.7346  2 Ga 2.93-3.00
6 Tb 0.9901 0.6024 0.2599  2 Ga 2.89-3.07
7 Pr 0.4462 0.4462 0.6779  1 Ga 3.04
8 Pr 0.5538 0.5538 0.3221  1 Ga 3.04
9 Ga 0.2370 0.2370 0.0973  6 Tb 2.89-3.07, 1 Pr 3.04
10 Ga 0.7630 0.7630 0.9027  6 Tb 2.89-3.07, 1 Pr 3.04



First-principles (GGA-PBE) data for a relaxed AcNpC2O8 crystal, as listed in Alexandria via LeMat-Bulk.

Results
density	7.26	g/cm3
ΔE_f (raw)	-2.1056	eV/atom
DOS at the Fermi energy	9.51	states/eV/f.u.
M_tot	2.00	μB per formula unit

a = 7.8513 Å, b = 7.8513 Å, c = 7.8513 Å
α = 34.82°, β = 34.82°, γ = 34.82°
With the nearest neighbours (Å) after each atom.
Fractional positions:
1 Ac 0.0000 0.0000 0.0000  12 O 2.75-2.86
2 Np 0.5000 0.5000 0.5000  6 O 2.19
3 C 0.2518 0.2518 0.2518  4 O 1.35-1.41
4 C 0.7482 0.7482 0.7482  4 O 1.35-1.41
5 O 0.0545 0.4895 0.7666  1 C 1.41
6 O 0.2334 0.5105 0.9455  1 C 1.41
7 O 0.3130 0.3130 0.3130  1 C 1.35
8 O 0.4895 0.7666 0.0545  1 C 1.41
9 O 0.5105 0.9455 0.2334  1 C 1.41
10 O 0.6870 0.6870 0.6870  1 C 1.35
11 O 0.7666 0.0545 0.4895  1 C 1.41
12 O 0.9455 0.2334 0.5105  1 C 1.41